Record 1
Density functional theory data (PBE) for a geometry-optimized Na3TbPd3O8 structure.

The structure in POSCAR format:
```
Na3TbPd3O8
1.0
5.899 -3.084 0.000
5.899 3.084 0.000
-3.022 0.000 5.589
Na Tb Pd O
3 1 3 8
Cartesian
0.000 0.000 0.000 Na
2.950 1.542 0.000 Na
2.950 -1.542 0.000 Na
-1.511 0.000 2.795 Tb
1.439 1.542 2.795 Pd
1.439 -1.542 2.795 Pd
4.389 0.000 2.795 Pd
1.828 0.000 1.471 O
3.275 1.399 3.781 O
0.551 0.000 3.900 O
5.502 1.399 1.808 O
3.275 -1.399 3.781 O
8.226 0.000 1.689 O
5.502 -1.399 1.808 O
6.949 0.000 4.118 O
```

Properties
Fermi-level density of states   2.19 states/eV per cell
Electronic total energy   -5.46 eV/atom
Formation energy without anion corrections   -1.20 eV/atom
SG   C2/m, No. 12


Record 2
Density functional theory data (PBE) for a geometry-optimized CeDyTh3 structure.

The structure in POSCAR format:
```
CeDyTh3
1.0
3.542 0.000 0.000
-1.771 3.068 0.000
0.000 0.000 28.787
Ce Dy Th
2 2 6
Cartesian
0.000 2.045 0.000 Ce
1.771 1.023 14.394 Ce
0.000 0.000 8.738 Dy
0.000 0.000 23.132 Dy
0.000 0.000 2.841 Th
0.000 0.000 17.235 Th
0.000 2.045 11.610 Th
0.000 2.045 20.136 Th
1.771 1.023 5.743 Th
1.771 1.023 26.004 Th
```

Properties
Fermi-level density of states   17.66 states/eV per cell
Electronic total energy   -6.53 eV/atom
Energy of formation   0.03 eV per atom
SG   P6_3mc, No. 186


Record 3
Density functional theory data (PBE) for a geometry-optimized HfRe2 structure.

The structure in POSCAR format:
```
HfRe2
1.0
-1.602 1.602 4.876
1.602 -1.602 4.876
1.602 1.602 -4.876
Hf Re
1 2
Cartesian
0.000 0.000 0.000 Hf
0.000 0.000 3.192 Re
0.000 0.000 6.561 Re
```

Properties
Fermi-level density of states   1.35 states/eV per cell
Electronic total energy   -11.81 eV/atom
Energy of formation   -0.20 eV per atom
SG   I4/mmm, No. 139


Record 4
Density functional theory data (PBE) for a geometry-optimized Pm8DyIn6 structure.

The structure in POSCAR format:
```
Pm8DyIn6
1.0
4.595 2.653 6.612
-4.595 2.653 6.612
0.000 -5.306 6.612
Pm Dy In
8 1 6
Cartesian
-3.072 -0.003 7.637 Pm
0.000 0.000 3.290 Pm
-1.533 -2.662 12.200 Pm
1.539 -2.659 7.637 Pm
-1.539 2.659 12.200 Pm
1.533 2.662 7.637 Pm
0.000 0.000 16.548 Pm
3.072 0.003 12.200 Pm
0.000 0.000 9.919 Dy
-1.512 -2.615 8.829 In
-3.020 0.002 11.008 In
-1.508 2.617 8.829 In
1.508 -2.617 11.008 In
3.020 -0.002 8.829 In
1.512 2.615 11.008 In
```

Properties
Fermi-level density of states   22.53 states/eV per cell
Electronic total energy   -4.18 eV/atom
Energy of formation   -0.24 eV per atom
SG   R-3, No. 148


Record 5
Density functional theory data (PBE) for a geometry-optimized Mg2ZrTl structure.

The structure in POSCAR format:
```
Mg2ZrTl
1.0
3.253 0.000 0.000
0.000 4.640 0.000
-1.139 0.000 6.106
Mg Zr Tl
2 1 1
Cartesian
-0.051 0.000 1.473 Mg
2.165 0.000 4.634 Mg
1.626 2.320 0.000 Zr
1.057 2.320 3.053 Tl
```

Properties
Fermi-level density of states   2.64 states/eV per cell
Relative energy among the computed polymorphs   13.2 kJ per mole of atoms
Electronic total energy   -3.50 eV/atom
Energy of formation   0.03 eV per atom
SG   P2/m, No. 10


Record 6
Density functional theory data (PBE) for a geometry-optimized Sn3AuBr structure.

The structure in POSCAR format:
```
Sn3AuBr
1.0
5.487 0.000 0.000
0.000 5.487 0.000
0.000 0.000 5.487
Sn Au Br
3 1 1
Cartesian
0.000 0.000 2.744 Sn
0.000 2.744 0.000 Sn
2.744 0.000 0.000 Sn
0.000 0.000 0.000 Au
2.744 2.744 2.744 Br
```

Properties
Fermi-level density of states   3.21 states/eV per cell
Relative energy among the computed polymorphs   0.0 kJ per mole of atoms
Electronic total energy   -3.18 eV/atom
Formation energy without anion corrections   0.21 eV/atom
SG   Pm-3m, No. 221